1.
NbZnNF2 (GGA-PBE, relaxed); total energy = -28.98 eV for the cell shown
1.0
4.2375 0.0000 0.0000
0.0000 4.2375 0.0000
0.0000 0.0000 4.0410
Nb Zn N F
1 1 1 2
direct
0.0000 0.0000 0.0000
0.5000 0.5000 0.5000
0.0000 0.0000 0.5000
0.0000 0.5000 0.0000
0.5000 0.0000 0.0000


2.
Hf2TaSi (GGA-PBE, relaxed); total energy = -72.01 eV for the cell shown
1.0
-3.8760 3.8760 2.6834
3.8760 -3.8760 2.6834
3.8760 3.8760 -2.6834
Hf Ta Si
4 2 2
direct
0.0892 0.6250 0.9642
0.3750 0.3392 0.4642
0.6608 0.1250 0.0358
0.8750 0.9108 0.5358
0.2500 0.7500 0.5000
0.5000 0.5000 0.0000
0.0000 0.0000 0.0000
0.7500 0.2500 0.5000


3.
Ce12PuTl6 (GGA-PBE, relaxed); total energy = -101.09 eV for the cell shown; formation enthalpy at 0 K = -71 meV per atom
1.0
7.2364 4.1780 3.0350
-7.2364 4.1780 3.0350
0.0000 -8.3559 3.0350
Ce Pu Tl
12 1 6
direct
0.1250 0.3140 0.8422
0.1533 0.4451 0.6067
0.1578 0.8750 0.6860
0.3140 0.8422 0.1250
0.3933 0.8467 0.5549
0.4451 0.6067 0.1533
0.5549 0.3933 0.8467
0.6067 0.1533 0.4451
0.6860 0.1578 0.8750
0.8422 0.1250 0.3140
0.8467 0.5549 0.3933
0.8750 0.6860 0.1578
0.0000 0.0000 0.0000
0.0975 0.4371 0.2168
0.2168 0.0975 0.4371
0.4371 0.2168 0.0975
0.5629 0.7832 0.9025
0.7832 0.9025 0.5629
0.9025 0.5629 0.7832


4.
La2Pm4HoTm (GGA-PBE, relaxed); total energy = -75.46 eV for the cell shown; formation enthalpy at 0 K = 22 meV per atom
1.0
7.2837 0.0000 0.0000
0.0000 7.2810 0.0000
-0.0132 0.0000 10.3145
La Pm Ho Tm
4 8 2 2
direct
0.0000 0.0000 0.0000
0.0000 0.0000 0.5000
0.0000 0.5000 0.0000
0.5000 0.0000 0.0000
0.2528 0.2535 0.2546
0.2535 0.2537 0.7453
0.2528 0.7465 0.2546
0.2535 0.7463 0.7453
0.7465 0.2537 0.2547
0.7472 0.2535 0.7454
0.7465 0.7463 0.2547
0.7472 0.7465 0.7454
0.5000 0.0000 0.5000
0.5000 0.5000 0.0000
0.0000 0.5000 0.5000
0.5000 0.5000 0.5000


Please write out number 2 again, unchanged.
Hf2TaSi (GGA-PBE, relaxed); total energy = -72.01 eV for the cell shown
1.0
-3.8760 3.8760 2.6834
3.8760 -3.8760 2.6834
3.8760 3.8760 -2.6834
Hf Ta Si
4 2 2
direct
0.0892 0.6250 0.9642
0.3750 0.3392 0.4642
0.6608 0.1250 0.0358
0.8750 0.9108 0.5358
0.2500 0.7500 0.5000
0.5000 0.5000 0.0000
0.0000 0.0000 0.0000
0.7500 0.2500 0.5000